1.
First-principles (PBE-GGA) data for a relaxed structure of CdRhSe2, as listed in Alexandria.

Magnetic moment ... 0.00 μB/f.u.
V ... 18.61 Å³ per atom
Electronic total energy ... -0.272 Ry/atom
Formation energy from raw total energies ... 0.11 eV per atom

Cell: 4.7409 4.7413 3.3109 Å, 90.00 90.00 90.00°
Positions (direct):
Se 0.0000 0.0000 0.0000
Cd 0.5000 0.0000 0.5000
Se 0.5000 0.5000 0.0000
Rh 0.0000 0.5000 0.5000


2.
First-principles (PBE-GGA) data for a relaxed structure of CdRh4Se, as listed in Alexandria.

Magnetic moment ... 0.00 μB/f.u.
V ... 16.76 Å³ per atom
Electronic total energy ... -0.391 Ry/atom
Formation energy from raw total energies ... 0.32 eV per atom

Cell: 5.2195 5.2195 5.2195 Å, 60.00 60.00 60.00°
Positions (direct):
Rh 0.3754 0.3754 0.8738
Rh 0.3754 0.8738 0.3754
Cd 0.0000 0.0000 0.0000
Se 0.7500 0.7500 0.7500
Rh 0.8738 0.3754 0.3754
Rh 0.3754 0.3754 0.3754


3.
First-principles (PBE-GGA) data for a relaxed structure of CdRh2Se, as listed in Alexandria.

Magnetic moment ... 0.00 μB/f.u.
V ... 17.34 Å³ per atom
Electronic total energy ... -0.353 Ry/atom
Formation energy from raw total energies ... -0.03 eV per atom

Cell: 3.9078 3.0658 5.7911 Å, 90.00 90.00 90.00°
Positions (direct):
Rh 0.0000 0.2499 0.5005
Cd 0.5000 0.7500 0.7500
Rh 0.0000 0.2501 0.9995
Se 0.5000 0.2500 0.2500


4.
First-principles (PBE-GGA) data for a relaxed structure of Cd2RhSe, as listed in Alexandria.

Magnetic moment ... 0.00 μB/f.u.
V ... 18.66 Å³ per atom
Electronic total energy ... -0.231 Ry/atom
Formation energy from raw total energies ... 0.03 eV per atom

Cell: 5.2875 5.2875 5.2875 Å, 134.06 134.43 66.70°
Positions (direct):
Cd 0.0001 0.0001 0.0000
Cd 0.4999 0.4999 0.0000
Rh 0.2500 0.7500 0.5000
Se 0.7500 0.2500 0.5000


5.
First-principles (PBE-GGA) data for a relaxed structure of CdRhSe, as listed in Alexandria.

Magnetic moment ... 0.00 μB/f.u.
Energy relative to the lowest polymorph listed for this composition ... 151 meV per atom
V ... 19.50 Å³ per atom
Electronic total energy ... -0.290 Ry/atom
Formation energy from raw total energies ... -0.03 eV per atom

Cell: 3.3525 3.3492 12.0345 Å, 90.00 90.00 120.03°
Positions (direct):
Se 0.1120 0.2239 0.8632
Se 0.1120 0.2239 0.1368
Rh 0.4453 0.8906 0.0000
Rh 0.4433 0.8866 0.5000
Cd 0.7770 0.5541 0.3352
Cd 0.7770 0.5541 0.6648


6.
First-principles (PBE-GGA) data for a relaxed structure of CdRh2Se, as listed in Alexandria.

Magnetic moment ... 0.15 μB/f.u.
V ... 17.71 Å³ per atom
Electronic total energy ... -0.344 Ry/atom
Formation energy from raw total energies ... 0.09 eV per atom

Cell: 9.0147 9.0147 9.0147 Å, 19.43 19.43 19.43°
Each line ends with the local moment (μB).
Positions (direct):
Rh 0.9939 0.9939 0.9939  0.12
Se 0.5157 0.5157 0.5157  0.00
Rh 0.2471 0.2471 0.2471  0.03
Cd 0.7432 0.7432 0.7432  0.00